Here is a relaxed CePdPbAu crystal from the Alexandria database. Energies are from GGA-PBE.

Formation energy ... -0.56 eV/atom
Crystal system ... cubic

Cell lengths 7.125, 7.125, 7.125 Å; angles 90.00, 90.00, 90.00 degrees
Space group F-43m (No. 216)
Symmetry-distinct sites (fractional):
Ce  0.000  0.000  0.000 x4
Pd  0.250  0.250  0.250 x4
Pb  0.000  0.000  0.500 x4
Au  0.250  0.250  0.750 x4